The following is a PBEsol calculation of ReH2PdPb after structural relaxation, from Alexandria.

Computed properties:
- E_tot (eV for the cell shown) = -25.3

abc: 3.729 3.729 5.165
angles: 90.00 90.00 90.00
Fractional positions:
Re: 0.000 0.000 0.000
H: 0.000 0.500 0.500
H: 0.500 0.000 0.500
Pd: 0.000 0.000 0.500
Pb: 0.500 0.500 0.000


The following is a PBEsol calculation of H2Pt2Pb after structural relaxation, from Alexandria.

Computed properties:
- E_tot (eV for the cell shown) = -44.7

abc: 6.771 6.771 2.866
angles: 90.00 90.00 90.00
Fractional positions:
H: 0.062 0.438 0.000
H: 0.438 0.938 0.000
H: 0.562 0.062 0.000
H: 0.938 0.562 0.000
Pt: 0.141 0.641 0.500
Pt: 0.359 0.141 0.500
Pt: 0.641 0.859 0.500
Pt: 0.859 0.359 0.500
Pb: 0.000 0.000 0.000
Pb: 0.500 0.500 0.000


The following is a PBEsol calculation of Rb2HPb after structural relaxation, from Alexandria.

Computed properties:
- E_tot (eV for the cell shown) = -30.9

abc: 8.544 8.544 8.544
angles: 90.00 90.00 90.00
Fractional positions:
Rb: 0.250 0.250 0.250
Rb: 0.250 0.250 0.750
Rb: 0.250 0.750 0.250
Rb: 0.250 0.750 0.750
Rb: 0.750 0.250 0.250
Rb: 0.750 0.250 0.750
Rb: 0.750 0.750 0.250
Rb: 0.750 0.750 0.750
H: 0.000 0.000 0.000
H: 0.000 0.500 0.500
H: 0.500 0.000 0.500
H: 0.500 0.500 0.000
Pb: 0.000 0.000 0.500
Pb: 0.000 0.500 0.000
Pb: 0.500 0.000 0.000
Pb: 0.500 0.500 0.500


The following is a PBEsol calculation of HRh3Pb after structural relaxation, from Alexandria.

Computed properties:
- E_tot (eV for the cell shown) = -32.1

abc: 3.997 3.997 3.997
angles: 90.00 90.00 90.00
Fractional positions:
H: 0.000 0.000 0.000
Rh: 0.000 0.000 0.500
Rh: 0.000 0.500 0.000
Rh: 0.500 0.000 0.000
Pb: 0.500 0.500 0.500


The following is a PBEsol calculation of H3RhPb after structural relaxation, from Alexandria.

Computed properties:
- E_tot (eV for the cell shown) = -21.9

abc: 3.690 3.690 3.690
angles: 90.00 90.00 90.00
Fractional positions:
H: 0.000 0.000 0.500
H: 0.000 0.500 0.000
H: 0.500 0.000 0.000
Rh: 0.000 0.000 0.000
Pb: 0.500 0.500 0.500


The following is a PBEsol calculation of H2RuPb after structural relaxation, from Alexandria.

Computed properties:
- E_tot (eV for the cell shown) = -66.3

abc: 5.624 5.624 5.624
angles: 90.00 90.00 90.00
Fractional positions:
H: 0.250 0.250 0.250
H: 0.250 0.250 0.750
H: 0.250 0.750 0.250
H: 0.250 0.750 0.750
H: 0.750 0.250 0.250
H: 0.750 0.250 0.750
H: 0.750 0.750 0.250
H: 0.750 0.750 0.750
Ru: 0.000 0.000 0.000
Ru: 0.000 0.500 0.500
Ru: 0.500 0.000 0.500
Ru: 0.500 0.500 0.000
Pb: 0.000 0.000 0.500
Pb: 0.000 0.500 0.000
Pb: 0.500 0.000 0.000
Pb: 0.500 0.500 0.500


The following is a PBEsol calculation of SbH2Pb after structural relaxation, from Alexandria.

Computed properties:
- energy relative to the lowest polymorph listed for this composition (meV per atom) = 149

abc: 6.260 6.260 6.260
angles: 90.00 90.00 90.00
Fractional positions:
Sb: 0.000 0.000 0.000
Sb: 0.000 0.500 0.500
Sb: 0.500 0.000 0.500
Sb: 0.500 0.500 0.000
H: 0.250 0.250 0.250
H: 0.250 0.250 0.750
H: 0.250 0.750 0.250
H: 0.250 0.750 0.750
H: 0.750 0.250 0.250
H: 0.750 0.250 0.750
H: 0.750 0.750 0.250
H: 0.750 0.750 0.750
Pb: 0.000 0.000 0.500
Pb: 0.000 0.500 0.000
Pb: 0.500 0.000 0.000
Pb: 0.500 0.500 0.500


The following is a PBEsol calculation of SbH2Pb after structural relaxation, from Alexandria.

Computed properties:
- energy relative to the lowest polymorph listed for this composition (meV per atom) = 0

abc: 4.450 4.450 13.728
angles: 90.00 90.00 90.00
Fractional positions:
Sb: 0.000 0.000 0.000
Sb: 0.000 0.500 0.250
Sb: 0.500 0.000 0.750
Sb: 0.500 0.500 0.500
H: 0.161 0.250 0.125
H: 0.250 0.661 0.375
H: 0.250 0.839 0.875
H: 0.339 0.250 0.625
H: 0.661 0.750 0.625
H: 0.750 0.161 0.875
H: 0.750 0.339 0.375
H: 0.839 0.750 0.125
Pb: 0.000 0.000 0.500
Pb: 0.000 0.500 0.750
Pb: 0.500 0.000 0.250
Pb: 0.500 0.500 0.000


The calculation returns the following spin magnetization values, one per record and in order: 0.61 0.00 2.80 0.00 0.00 0.00 0.00 0.00 μB per formula unit.